8
Lattice="5.107 0.000 0.000 0.000 5.107 0.000 0.000 0.000 10.145" Properties=species:S:1:pos:R:3 comment="TbPrSmEr, relaxed, DFT PBE" e_form_kj_per_mol_atoms=1.9 m_tot_mub_per_fu=0.00 space_group="I-4m2, No. 119" dos_at_fermi_per_ev_atom=1.412 pbc="T T T"
Tb 0.000 0.000 0.000
Tb 2.553 2.553 5.073
Pr 0.000 0.000 5.073
Pr 2.553 2.553 0.000
Sm 0.000 2.553 2.536
Sm 2.553 0.000 7.609
Er 0.000 2.553 7.609
Er 2.553 0.000 2.536

10
Lattice="8.442 0.000 0.000 0.000 6.553 0.000 -0.522 0.000 6.224" Properties=species:S:1:pos:R:3 comment="TbPrSm2Er, relaxed, DFT PBE" e_form_kj_per_mol_atoms=27.4 m_tot_mub_per_fu=0.00 space_group="P2/c, No. 13" dos_at_fermi_per_ev_atom=1.243 pbc="T T T"
Tb -0.130 0.425 1.556
Tb -0.391 6.128 4.668
Pr 0.000 3.276 0.000
Pr -0.261 3.276 3.112
Sm 2.249 1.243 4.504
Sm 2.510 5.310 1.392
Sm 5.411 1.243 4.831
Sm 5.672 5.310 1.719
Er 4.091 2.200 1.556
Er 3.830 4.353 4.668

12
Lattice="6.546 0.000 0.000 0.000 18.108 0.000 0.000 0.000 3.413" Properties=species:S:1:pos:R:3 comment="TbPrSm2Er2, relaxed, DFT PBE" e_form_kj_per_mol_atoms=25.9 m_tot_mub_per_fu=0.00 space_group="Pnnm, No. 58" dos_at_fermi_per_ev_atom=1.676 pbc="T T T"
Tb 0.000 0.000 0.000
Tb 3.273 9.054 1.706
Pr 0.000 9.054 0.000
Pr 3.273 0.000 1.706
Sm 1.429 5.634 0.000
Sm 1.844 14.688 1.706
Sm 4.702 3.420 1.706
Sm 5.117 12.474 0.000
Er 1.412 2.653 1.706
Er 1.861 11.707 0.000
Er 4.685 6.401 0.000
Er 5.134 15.454 1.706

12
Lattice="3.155 -5.465 0.000 3.155 5.465 0.000 -2.097 0.000 11.710" Properties=species:S:1:pos:R:3 comment="Tb2Pr6SmEr3, relaxed, DFT PBE" e_form_kj_per_mol_atoms=1.2 m_tot_mub_per_fu=0.00 space_group="C2/m, No. 12" dos_at_fermi_per_ev_atom=1.113 pbc="T T T"
Tb 3.155 3.644 0.000
Tb 3.155 -3.644 0.000
Pr 0.002 1.823 8.757
Pr 1.053 0.000 2.953
Pr 0.002 -1.823 8.757
Pr 4.211 1.823 2.953
Pr 3.160 0.000 8.757
Pr 4.211 -1.823 2.953
Sm 3.155 0.000 0.000
Er -1.048 0.000 5.855
Er 2.107 1.823 5.855
Er 2.107 -1.823 5.855

12
Lattice="3.166 -5.484 0.000 3.166 5.484 0.000 -2.106 0.000 11.792" Properties=species:S:1:pos:R:3 comment="Tb3Pr6Sm2Er, relaxed, DFT PBE" e_form_kj_per_mol_atoms=1.1 m_tot_mub_per_fu=0.00 space_group="C2/m, No. 12" dos_at_fermi_per_ev_atom=1.220 pbc="T T T"
Tb 0.000 0.000 0.000
Tb 3.166 1.827 0.000
Tb 3.166 -1.827 0.000
Pr 1.058 1.824 2.939
Pr 0.008 0.000 8.857
Pr 1.058 -1.824 2.939
Pr 3.167 1.824 8.853
Pr 4.218 0.000 2.935
Pr 3.167 -1.824 8.853
Sm 2.113 3.654 5.896
Sm 2.113 -3.654 5.896
Er 2.113 0.000 5.896

18
Lattice="-4.410 4.410 7.659 4.410 -4.410 7.659 4.410 4.410 -7.659" Properties=species:S:1:pos:R:3 comment="Tb5PrSm2Er, relaxed, DFT PBE" e_form_kj_per_mol_atoms=26.5 m_tot_mub_per_fu=0.00 space_group="I4/mcm, No. 140" dos_at_fermi_per_ev_atom=1.186 pbc="T T T"
Tb 0.000 0.000 0.000
Tb 6.247 1.837 -2.082
Tb 1.837 2.573 -2.082
Tb 6.247 1.837 2.082
Tb 1.837 2.573 2.082
Tb 0.000 0.000 7.659
Tb 2.573 1.837 5.577
Tb -1.837 2.573 5.577
Tb 2.573 1.837 9.741
Tb -1.837 2.573 9.741
Pr 0.000 0.000 3.830
Pr 0.000 0.000 11.489
Sm 3.390 1.020 0.000
Sm 3.390 -1.020 7.659
Sm 1.020 5.429 0.000
Sm 1.020 3.390 7.659
Er 4.410 0.000 3.830
Er 0.000 4.410 3.830